Record 1
ScMn2Ni: relaxed, GGA-PBE.

abc: 2.8690 4.1166 5.2552
angles: 90.00 105.05 90.00
With the nearest neighbours (Å) after each atom.
Space group P2/m (No. 10)
Unique sites:
Sc 0.0000 0.0000 0.0000 [1 per cell]  2 Ni 2.65, 8 Mn 2.81-2.94, 2 Sc 2.87
Mn 0.3229 0.5000 0.7248 [2 per cell]  2 Ni 2.49, 1 Mn 2.60
Ni 0.5000 0.0000 0.5000 [1 per cell]  4 Mn 2.49, 2 Sc 2.65

Mass density ... 5.9 g/cm3
Calculated formation energy ... 0.088 eV per atom



Record 2
TmCdPdRu: relaxed, GGA-PBE.

abc: 6.6360 6.6360 6.6360
angles: 90.00 90.00 90.00
With the nearest neighbours (Å) after each atom.
Space group F-43m (No. 216)
Unique sites:
Tm 0.0000 0.0000 0.0000 [4 per cell]  4 Ru 2.87, 4 Pd 2.87
Cd 0.0000 0.0000 0.5000 [4 per cell]  4 Ru 2.87, 4 Pd 2.87
Pd 0.2500 0.2500 0.2500 [4 per cell]  4 Cd 2.87, 4 Tm 2.87
Ru 0.2500 0.2500 0.7500 [4 per cell]  4 Cd 2.87, 4 Tm 2.87

Mass density ... 11.1 g/cm3
Calculated formation energy ... -0.366 eV per atom



Record 3
SrBe4Ge3O12: relaxed, GGA-PBE.

abc: 9.9191 9.9191 7.2967
angles: 90.00 90.00 120.00
With the nearest neighbours (Å) after each atom.
Space group R32 (No. 155, hexagonal axes)
Unique sites:
Sr 0.0000 0.0000 0.0000 [3 per cell]  6 O 2.49
Be 0.0000 0.0000 0.5000 [3 per cell]  3 O 1.57
Be 0.0000 0.4333 0.5000 [9 per cell]  3 O 1.53-1.58
Ge 0.0000 0.5612 0.0000 [9 per cell]  6 O 1.84-1.97
O 0.0000 0.5923 0.5000 [9 per cell]  1 Be 1.58
O 0.0000 0.8418 0.5000 [9 per cell]  1 Be 1.57
O 0.0507 0.2281 0.1922 [18 per cell]  1 Be 1.53

Raw formation energy ... -3787 kJ/mol of formula units
Mass density ... 4.3 g/cm3



Record 4
SnOs3Pt: relaxed, GGA-PBE.

abc: 4.7776 4.7776 4.7776
angles: 90.00 90.00 90.00
With the nearest neighbours (Å) after each atom.
Space group Pm-3m (No. 221)
Unique sites:
Sn 0.0000 0.0000 0.0000 [1 per cell]  12 Os 3.38
Os 0.0000 0.5000 0.5000 [3 per cell]  2 Pt 2.39
Pt 0.5000 0.5000 0.5000 [1 per cell]  6 Os 2.39

Mass density ... 13.5 g/cm3
Calculated formation energy ... 2.297 eV per atom



Record 5
CaBeBP2: relaxed, GGA-PBE.

abc: 5.1744 5.1744 5.2604
angles: 90.00 90.00 90.00
With the nearest neighbours (Å) after each atom.
Space group P4/mmm (No. 123)
Unique sites:
Ca 0.0000 0.0000 0.0000 [1 per cell]  4 P 2.59, 2 Be 2.63
Be 0.0000 0.0000 0.5000 [1 per cell]  2 Ca 2.63
B 0.5000 0.5000 0.5000 [1 per cell]  4 Be 3.66, 8 P 3.69
P 0.0000 0.5000 0.0000 [2 per cell]  2 Ca 2.59

Mass density ... 1.4 g/cm3
Calculated formation energy ... 2.169 eV per atom



Record 6
BaLa2Rh: relaxed, GGA-PBE.

abc: 3.9395 6.4731 11.2318
angles: 90.00 90.00 90.00
With the nearest neighbours (Å) after each atom.
Space group Immm (No. 71)
Unique sites:
Ba 0.0000 0.0000 0.0000 [2 per cell]  4 Rh 3.79, 8 La 3.79-4.14, 2 Ba 3.94
La 0.0000 0.5000 0.1760 [4 per cell]  2 Rh 2.79
Rh 0.0000 0.0000 0.5000 [2 per cell]  4 La 2.79

Mass density ... 6.0 g/cm3
Calculated formation energy ... -0.287 eV per atom



Record 7
PrYAl2Zn2: relaxed, GGA-PBE.

abc: 4.5197 4.5197 7.4630
angles: 90.00 90.00 120.00
With the nearest neighbours (Å) after each atom.
Space group P-3m1 (No. 164)
Unique sites:
Pr 0.0000 0.0000 0.0000 [1 per cell]  6 Al 3.29, 6 Zn 3.33
Y 0.0000 0.0000 0.5000 [1 per cell]  6 Zn 3.10, 6 Al 3.13
Al 0.3333 0.6667 0.7308 [2 per cell]  3 Zn 2.61
Zn 0.3333 0.6667 0.2768 [2 per cell]  3 Al 2.61

Mass density ... 5.2 g/cm3
Calculated formation energy ... -0.455 eV per atom



Record 8
K2ScW: relaxed, GGA-PBE.

abc: 3.1575 3.1575 12.4960
angles: 90.00 90.00 90.00
With the nearest neighbours (Å) after each atom.
Space group P4mm (No. 99)
Unique sites:
K 0.0000 0.0000 0.0000 [1 per cell]  4 K 3.16
K 0.5000 0.5000 0.3351 [1 per cell]  4 K 3.16
Sc 0.0000 0.0000 0.6205 [1 per cell]  4 W 2.88, 4 Sc 3.16
W 0.5000 0.5000 0.7666 [1 per cell]  4 Sc 2.88, 4 W 3.16

Mass density ... 4.1 g/cm3
Calculated formation energy ... 0.892 eV per atom



Record 9
TaAgRu2: relaxed, GGA-PBE.

abc: 4.0827 4.0827 3.7162
angles: 90.00 90.00 90.00
With the nearest neighbours (Å) after each atom.
Space group P4/mmm (No. 123)
Unique sites:
Ta 0.0000 0.0000 0.0000 [1 per cell]  8 Ru 2.76, 4 Ag 2.89
Ag 0.5000 0.5000 0.0000 [1 per cell]  8 Ru 2.76, 4 Ta 2.89
Ru 0.0000 0.5000 0.5000 [2 per cell]  4 Ta 2.76, 4 Ag 2.76, 4 Ru 2.89

Mass density ... 13.2 g/cm3
Calculated formation energy ... 0.070 eV per atom



Record 10
CuIrRhN2: relaxed, GGA-PBE.

abc: 3.6987 3.6987 5.4015
angles: 90.00 90.00 90.00
With the nearest neighbours (Å) after each atom.
Space group P4/mmm (No. 123)
Unique sites:
Cu 0.0000 0.0000 0.0000 [1 per cell]  4 Ir 2.62
Ir 0.5000 0.5000 0.0000 [1 per cell]  4 Cu 2.62, 2 Rh 2.70
Rh 0.5000 0.5000 0.5000 [1 per cell]  4 N 1.85
N 0.0000 0.5000 0.5000 [2 per cell]  2 Rh 1.85

Raw formation energy ... 773 kJ/mol of formula units
Mass density ... 8.7 g/cm3



Record 11
KCaHfCl2: relaxed, GGA-PBE.

abc: 5.4633 5.4633 6.4587
angles: 90.00 90.00 90.00
With the nearest neighbours (Å) after each atom.
Space group P4/mmm (No. 123)
Unique sites:
K 0.0000 0.0000 0.0000 [1 per cell]  4 Cl 2.73
Ca 0.0000 0.0000 0.5000 [1 per cell]  2 K 3.23
Hf 0.5000 0.5000 0.5000 [1 per cell]  4 Ca 3.86, 8 Cl 4.23
Cl 0.0000 0.5000 0.0000 [2 per cell]  2 K 2.73

Raw formation energy ... 130 kJ/mol of formula units
Mass density ... 2.8 g/cm3



Record 12
LiBP: relaxed, GGA-PBE.

abc: 5.5300 3.1933 9.0786
angles: 90.00 90.23 90.00
With the nearest neighbours (Å) after each atom.
Space group C2/m (No. 12)
Unique sites:
Li 0.1681 0.0000 0.3595 [4 per cell]  3 B 2.41-2.42
B 0.1658 0.0000 0.8123 [4 per cell]  3 P 1.92
P 0.0005 0.5000 0.1301 [4 per cell]  3 B 1.92

Mass density ... 2.0 g/cm3
Calculated formation energy ... -0.187 eV per atom



Record 13
VFeCu2B: relaxed, GGA-PBE.

abc: 4.5793 4.5793 3.9365
angles: 90.00 90.00 90.00
With the nearest neighbours (Å) after each atom.
Space group P4/mmm (No. 123)
Unique sites:
V 0.0000 0.0000 0.0000 [1 per cell]  2 Fe 1.97
Fe 0.0000 0.0000 0.5000 [1 per cell]  2 V 1.97
Cu 0.0000 0.5000 0.0000 [2 per cell]  2 V 2.29
B 0.5000 0.5000 0.5000 [1 per cell]  8 Cu 3.02, 4 Fe 3.24

Mass density ... 4.9 g/cm3
Calculated formation energy ... 2.037 eV per atom



Record 14
NaCu2I8: relaxed, GGA-PBE.

abc: 8.1376 8.1376 12.4679
angles: 90.00 90.00 90.00
With the nearest neighbours (Å) after each atom.
Space group I422 (No. 97)
Unique sites:
Na 0.0000 0.0000 0.0000 [2 per cell]  8 I 3.38
Cu 0.0000 0.5000 0.2500 [4 per cell]  4 I 2.62
I 0.1716 0.3191 0.6176 [16 per cell]  1 Cu 2.62

Raw formation energy ... -151 kJ/mol of formula units
Mass density ... 4.7 g/cm3



Record 15
TcSnOsF2: relaxed, GGA-PBE.

abc: 3.9121 3.9121 5.8368
angles: 90.00 90.00 90.00
With the nearest neighbours (Å) after each atom.
Space group P4/mmm (No. 123)
Unique sites:
Tc 0.0000 0.0000 0.0000 [1 per cell]  4 Os 2.77, 2 Sn 2.92
Sn 0.0000 0.0000 0.5000 [1 per cell]  4 F 1.96
Os 0.5000 0.5000 0.0000 [1 per cell]  4 Tc 2.77
F 0.0000 0.5000 0.5000 [2 per cell]  2 Sn 1.96

Raw formation energy ... 116 kJ/mol of formula units
Mass density ... 8.3 g/cm3



Record 16
Ga3NiI: relaxed, GGA-PBE.

abc: 4.7891 4.7891 4.7891
angles: 90.00 90.00 90.00
With the nearest neighbours (Å) after each atom.
Space group Pm-3m (No. 221)
Unique sites:
Ga 0.0000 0.0000 0.5000 [3 per cell]  2 Ni 2.39
Ni 0.0000 0.0000 0.0000 [1 per cell]  6 Ga 2.39
I 0.5000 0.5000 0.5000 [1 per cell]  12 Ga 3.39

Raw formation energy ... -107 kJ/mol of formula units
Mass density ... 6.0 g/cm3



Record 17
SrTcHgAs2: relaxed, GGA-PBE.

abc: 5.6554 5.6554 5.8292
angles: 90.00 90.00 90.00
With the nearest neighbours (Å) after each atom.
Space group P4/mmm (No. 123)
Unique sites:
Sr 0.0000 0.0000 0.0000 [1 per cell]  4 As 2.83, 2 Tc 2.91
Tc 0.0000 0.0000 0.5000 [1 per cell]  2 Sr 2.91
Hg 0.5000 0.5000 0.5000 [1 per cell]  4 Tc 4.00, 8 As 4.06
As 0.0000 0.5000 0.0000 [2 per cell]  2 Sr 2.83

Mass density ... 4.8 g/cm3
Calculated formation energy ... 1.577 eV per atom



Record 18
Sr3Ca12Pm: relaxed, GGA-PBE.

abc: 5.6683 5.6683 21.6962
angles: 90.00 90.00 90.00
With the nearest neighbours (Å) after each atom.
Space group P4/mmm (No. 123)
Unique sites:
Sr 0.0000 0.0000 0.0000 [1 per cell]  12 Ca 3.99-4.01
Sr 0.0000 0.0000 0.2590 [2 per cell]  12 Ca 3.95-4.01
Ca 0.0000 0.5000 0.1293 [4 per cell]  8 Ca 3.96-4.01, 4 Sr 3.99
Ca 0.0000 0.5000 0.3859 [4 per cell]  8 Ca 3.76-4.01, 2 Pm 3.76, 2 Sr 3.95
Ca 0.5000 0.5000 0.0000 [1 per cell]  8 Ca 3.99, 4 Sr 4.01
Ca 0.5000 0.5000 0.2569 [2 per cell]  8 Ca 3.96-3.98, 4 Sr 4.01
Ca 0.5000 0.5000 0.5000 [1 per cell]  8 Ca 3.76, 4 Pm 4.01
Pm 0.0000 0.0000 0.5000 [1 per cell]  12 Ca 3.76-4.01

Mass density ... 2.1 g/cm3
Calculated formation energy ... 0.038 eV per atom



Record 19
AlSiS2N: relaxed, GGA-PBE.

abc: 4.7165 4.7165 3.3417
angles: 90.00 90.00 90.00
With the nearest neighbours (Å) after each atom.
Space group P4/mmm (No. 123)
Unique sites:
Al 0.0000 0.0000 0.0000 [1 per cell]  8 S 2.89
Si 0.5000 0.5000 0.5000 [1 per cell]  2 N 1.67
S 0.0000 0.5000 0.5000 [2 per cell]  2 Si 2.36
N 0.5000 0.5000 0.0000 [1 per cell]  2 Si 1.67

Raw formation energy ... 58 kJ/mol of formula units
Mass density ... 3.0 g/cm3



Record 20
Dy3YTm2Sb6: relaxed, GGA-PBE.

abc: 19.0459 4.3697 8.7403
angles: 90.00 103.20 90.00
With the nearest neighbours (Å) after each atom.
Space group C2/m (No. 12)
Unique sites:
Dy 0.0000 0.0000 0.0000 [2 per cell]  6 Sb 3.09-3.10
Dy 0.1661 0.5000 0.3327 [4 per cell]  6 Sb 3.09-3.10
Y 0.0000 0.0000 0.5000 [2 per cell]  6 Sb 3.09-3.10
Tm 0.1669 0.5000 0.8331 [4 per cell]  6 Sb 3.07-3.08
Sb 0.0010 0.5000 0.7510 [4 per cell]  1 Tm 3.08, 3 Dy 3.09-3.10, 2 Y 3.09
Sb 0.1674 0.0000 0.0811 [4 per cell]  3 Tm 3.07-3.08, 3 Dy 3.10
Sb 0.1671 0.0000 0.5855 [4 per cell]  2 Tm 3.08, 3 Dy 3.09-3.10, 1 Y 3.10

Raw formation energy ... -1292 kJ/mol of formula units
Mass density ... 7.7 g/cm3



no.,energy (Ha/atom)
1,-0.277
2,-0.196
3,-0.237
4,-0.237
5,-0.091
6,-0.186
7,-0.147
8,-0.165
9,-0.303
10,-0.213
11,-0.113
12,-0.178
13,-0.164
14,-0.078
15,-0.207
16,-0.129
17,-0.101
18,-0.076
19,-0.185
20,-0.206